The following is a PBE calculation of a geometry-optimized Li2SbMo structure, from Alexandria via LeMat-Bulk.

Unit cell a=2.9631 b=2.9631 c=28.9474 alpha=90.00 beta=90.00 gamma=120.00
Space group R-3m (No. 166, hexagonal axes)
Inequivalent atoms, fractional coordinates:
1 Li 0.0000 0.0000 0.2505
2 Sb 0.0000 0.0000 0.5000
3 Mo 0.0000 0.0000 0.0000

Results
Total energy (eV per cell): -51.7
Formation energy from raw total energies (kJ/mol of formula units): 149

---

The following is a PBE calculation of a geometry-optimized Mg2NbC2 structure, from Alexandria via LeMat-Bulk.

Unit cell a=6.7342 b=6.7342 c=2.6765 alpha=90.00 beta=90.00 gamma=90.00
Space group P4/mbm (No. 127)
Inequivalent atoms, fractional coordinates:
1 Mg 0.1275 0.3725 0.0000
2 Nb 0.0000 0.0000 0.0000
3 C 0.1753 0.6753 0.5000

Results
Total energy (eV per cell): -50.9
DFT formation energy (meV per atom): 1251